This record from Alexandria describes crystalline TbNbNi2 at its relaxed geometry. The functional is PBE.

Cell lengths 3.211, 3.211, 6.647 Å; angles 90.00, 90.00, 90.00 degrees
Positions (direct):
Tb1 0.000 0.000 0.000
Nb1 0.000 0.000 0.500
Ni1 0.500 0.500 0.303
Ni2 0.500 0.500 0.697

Values from the calculation:
* E_tot: -27.0 eV/cell
* SG: P4/mmm (123)